[1]
The following is a PBE calculation of a geometry-optimized Te2HIr2 structure, from Alexandria via LeMat-Bulk.

Cell: 7.769 7.769 3.162 Å, 90.00 90.00 90.00°
Site moments in Bohr magnetons follow the coordinates.
Element x y z (fractional)
1 Ir 0.627 0.127 0.000  0.05
2 Te 0.167 0.667 0.500  0.02
3 Te 0.667 0.833 0.500  0.02
4 Te 0.333 0.167 0.500  0.02
5 Ir 0.127 0.373 0.000  0.05
6 Te 0.833 0.333 0.500  0.02
7 Ir 0.373 0.873 0.000  0.05
8 H 0.500 0.500 0.000  0.23
9 H 0.000 0.000 0.000  0.23
10 Ir 0.873 0.627 0.000  0.05

## Properties
The crystal system is tetragonal. The calculated volume comes out at 95.4 Å³/f.u. The calculated total energy is -47.3 eV for the cell shown. The calculation puts the density at 11.15 Mg/m³.

---

[2]
The following is a PBE calculation of a geometry-optimized Ba3C structure, from Alexandria via LeMat-Bulk.

Cell: 9.631 9.631 3.914 Å, 90.00 90.00 101.93°
Element x y z (fractional)
1 C 0.716 0.284 0.750
2 Ba 0.496 0.214 0.250
3 Ba 0.147 0.853 0.750
4 Ba 0.786 0.504 0.250
5 Ba 0.504 0.786 0.750
6 Ba 0.853 0.147 0.250
7 C 0.284 0.716 0.250
8 Ba 0.214 0.496 0.750

## Properties
The crystal system is orthorhombic. The calculated volume comes out at 177.6 Å³/f.u. The calculated total energy is -26.5 eV for the cell shown. The formation energy comes out at 0.431 eV/atom. The calculation puts the density at 3.96 Mg/m³.

---

[3]
The following is a PBE calculation of a geometry-optimized Sm2Y5Sc structure, from Alexandria via LeMat-Bulk.

Cell: 5.538 6.574 15.629 Å, 90.00 90.00 114.91°
Element x y z (fractional)
1 Y 0.620 0.240 0.951
2 Sc 0.731 0.462 0.750
3 Sm 0.219 0.438 0.866
4 Y 0.080 0.161 0.403
5 Y 0.380 0.760 0.049
6 Y 0.380 0.760 0.451
7 Sc 0.269 0.538 0.250
8 Sm 0.219 0.438 0.634
9 Y 0.920 0.839 0.597
10 Y 0.537 0.073 0.250
11 Y 0.620 0.240 0.549
12 Y 0.920 0.839 0.903
13 Sm 0.781 0.562 0.366
14 Sm 0.781 0.562 0.134
15 Y 0.463 0.927 0.750
16 Y 0.080 0.161 0.097

## Properties
The crystal system is orthorhombic. The calculated volume comes out at 258.0 Å³/f.u. The calculated total energy is -94.2 eV for the cell shown. The formation energy comes out at 0.124 eV/atom. The calculation puts the density at 5.09 Mg/m³.

---

[4]
The following is a PBE calculation of a geometry-optimized Tc2OsW structure, from Alexandria via LeMat-Bulk.

Cell: 3.929 3.900 3.900 Å, 90.00 90.00 90.00°
Element x y z (fractional)
1 W 0.500 0.500 0.000
2 Tc 0.000 0.000 0.000
3 Os 0.500 0.000 0.500
4 Tc 0.000 0.500 0.500

## Properties
The crystal system is tetragonal. The calculated volume comes out at 59.8 Å³/f.u. The calculated total energy is -44.7 eV for the cell shown. The formation energy comes out at 0.060 eV/atom. The calculation puts the density at 15.84 Mg/m³.

---

[5]
The following is a PBE calculation of a geometry-optimized HfTeI2Cl structure, from Alexandria via LeMat-Bulk.

Cell: 5.619 5.619 5.597 Å, 90.00 90.00 90.00°
Site moments in Bohr magnetons follow the coordinates.
Element x y z (fractional)
1 Te 0.000 0.000 0.500  0.08
2 I 0.000 0.500 0.000  0.01
3 Hf 0.000 0.000 0.000  -0.01
4 Cl 0.500 0.500 0.500  0.07
5 I 0.500 0.000 0.000  0.01

## Properties
The crystal system is tetragonal. The calculated volume comes out at 176.7 Å³/f.u. The calculated total energy is -19.7 eV for the cell shown. The calculation puts the density at 5.59 Mg/m³. The value obtained for the uncorrected formation energy is -0.32 eV per atom.

---

[6]
The following is a PBE calculation of a geometry-optimized Na4Ce3ThS8 structure, from Alexandria via LeMat-Bulk.

Cell: 8.236 8.215 8.235 Å, 120.10 120.01 90.00°
Site moments in Bohr magnetons follow the coordinates.
Element x y z (fractional)
1 S 0.242 0.735 0.993  -0.01
2 S 0.750 0.735 0.993  -0.01
3 Th 0.000 0.500 0.000  0.17
4 S 0.758 0.265 0.515  -0.01
5 Ce 0.500 0.500 0.000  1.03
6 S 0.250 0.265 0.007  -0.01
7 Na 0.000 0.000 0.500  0.00
8 Ce 0.000 0.500 0.500  1.03
9 Na 0.000 0.000 0.000  0.00
10 S 0.242 0.735 0.485  -0.01
11 S 0.255 0.265 0.510  -0.02
12 Na 0.500 0.000 0.000  0.00
13 Na 0.500 0.000 0.500  0.00
14 Ce 0.500 0.500 0.500  1.03
15 S 0.758 0.265 0.007  -0.01
16 S 0.745 0.735 0.490  -0.02

## Properties
The crystal system is trigonal. The calculated volume comes out at 393.4 Å³/f.u. The calculated total energy is -90.9 eV for the cell shown. The calculation puts the density at 4.22 Mg/m³. The value obtained for the uncorrected formation energy is -1.71 eV per atom.

---

[7]
The following is a PBE calculation of a geometry-optimized Pr4YTh3 structure, from Alexandria via LeMat-Bulk.

Cell: 5.117 10.399 10.265 Å, 90.00 90.00 90.00°
Element x y z (fractional)
1 Th 0.564 0.383 0.253
2 Y 0.064 0.383 0.000
3 Pr 0.564 0.139 0.500
4 Pr 0.564 0.131 0.000
5 Y 0.564 0.617 0.500
6 Th 0.564 0.618 0.000
7 Pr 0.564 0.865 0.249
8 Th 0.064 0.382 0.500
9 Th 0.564 0.383 0.747
10 Pr 0.064 0.135 0.251
11 Th 0.064 0.617 0.247
12 Pr 0.064 0.869 0.500
13 Pr 0.564 0.865 0.751
14 Pr 0.064 0.861 0.000
15 Pr 0.064 0.135 0.749
16 Th 0.064 0.617 0.753

## Properties
The crystal system is orthorhombic. The calculated volume comes out at 273.1 Å³/f.u. The calculated total energy is -95.1 eV for the cell shown. The formation energy comes out at 0.038 eV/atom. The calculation puts the density at 8.20 Mg/m³.

---

[8]
The following is a PBE calculation of a geometry-optimized Nb8Ga2Re structure, from Alexandria via LeMat-Bulk.

Cell: 4.563 6.366 7.593 Å, 109.65 107.49 90.00°
Element x y z (fractional)
1 Nb 0.018 0.739 0.036
2 Nb 0.168 0.197 0.335
3 Re 0.500 0.000 0.000
4 Nb 0.609 0.417 0.218
5 Nb 0.391 0.583 0.782
6 Nb 0.660 0.909 0.319
7 Ga 0.803 0.334 0.605
8 Ga 0.197 0.666 0.395
9 Nb 0.832 0.803 0.665
10 Nb 0.340 0.091 0.681
11 Nb 0.982 0.261 0.964

## Properties
The crystal system is monoclinic. The calculated volume comes out at 196.9 Å³/f.u. The calculated total energy is -99.8 eV for the cell shown. The formation energy comes out at -0.063 eV/atom. The calculation puts the density at 9.02 Mg/m³.

---

[9]
The following is a PBE calculation of a geometry-optimized SrAlCoMo2 structure, from Alexandria via LeMat-Bulk.

Cell: 4.900 4.508 4.900 Å, 90.00 90.00 90.00°
Site moments in Bohr magnetons follow the coordinates.
Element x y z (fractional)
1 Al 0.500 0.500 0.500  -0.02
2 Mo 0.500 0.000 0.000  1.32
3 Mo 0.000 0.000 0.500  1.08
4 Co 0.000 0.500 0.000  1.47
5 Sr 0.000 0.000 0.000  -0.02

## Properties
The crystal system is tetragonal. The calculated volume comes out at 108.3 Å³/f.u. The calculated total energy is -20.9 eV for the cell shown. The formation energy comes out at 2.660 eV/atom. The calculation puts the density at 5.61 Mg/m³.

---

[10]
The following is a PBE calculation of a geometry-optimized Na3Zn7In2 structure, from Alexandria via LeMat-Bulk.

Cell: 5.554 5.554 9.683 Å, 73.33 73.33 60.00°
Element x y z (fractional)
1 Zn 0.594 0.082 0.731
2 Na 0.000 0.000 0.000
3 Zn 0.918 0.406 0.269
4 Zn 0.500 0.500 0.500
5 Na 0.857 0.857 0.430
6 Zn 0.082 0.594 0.731
7 In 0.665 0.665 0.006
8 Zn 0.406 0.918 0.269
9 Zn 0.406 0.406 0.269
10 Na 0.143 0.143 0.570
11 In 0.335 0.335 0.994
12 Zn 0.594 0.594 0.731

## Properties
The crystal system is trigonal. The calculated volume comes out at 244.1 Å³/f.u. The calculated total energy is -18.5 eV for the cell shown. The formation energy comes out at -0.015 eV/atom. The calculation puts the density at 5.15 Mg/m³.

---

[11]
The following is a PBE calculation of a geometry-optimized YTcPt structure, from Alexandria via LeMat-Bulk.

Cell: 5.639 5.639 5.639 Å, 150.04 138.97 51.63°
Element x y z (fractional)
1 Pt 0.965 0.965 0.000
2 Tc 0.369 0.369 0.000
3 Y 0.666 0.666 0.000

## Properties
The crystal system is orthorhombic. The calculated volume comes out at 58.5 Å³/f.u. The calculated total energy is -23.3 eV for the cell shown. The formation energy comes out at -0.136 eV/atom. The calculation puts the density at 10.84 Mg/m³.

---

[12]
The following is a PBE calculation of a geometry-optimized BaPr2AgSe4 structure, from Alexandria via LeMat-Bulk.

Cell: 4.341 7.548 14.900 Å, 90.00 90.00 106.71°
Element x y z (fractional)
1 Se 0.271 0.541 0.386
2 Se 0.000 0.000 0.500
3 Se 0.000 0.000 0.000
4 Se 0.271 0.541 0.114
5 Se 0.454 0.909 0.750
6 Ag 0.851 0.702 0.750
7 Se 0.729 0.459 0.886
8 Pr 0.374 0.748 0.940
9 Pr 0.626 0.252 0.440
10 Ag 0.149 0.298 0.250
11 Pr 0.626 0.252 0.060
12 Se 0.729 0.459 0.614
13 Ba 0.876 0.752 0.250
14 Ba 0.124 0.248 0.750
15 Se 0.546 0.091 0.250
16 Pr 0.374 0.748 0.560

## Properties
The crystal system is orthorhombic. The calculated volume comes out at 233.8 Å³/f.u. The calculated total energy is -82.1 eV for the cell shown. The calculation puts the density at 5.99 Mg/m³. The value obtained for the uncorrected formation energy is -1.60 eV per atom.